This record from Alexandria via LeMat-Bulk describes a relaxed PuTeCl crystal. The functional is PBE.

Cell lengths 4.2443, 18.0481, 6.0741 Å; angles 90.00, 90.00, 90.00 degrees
Last column: nearest neighbours and their distance in Å.
Element x y z (fractional)
1 Pu 0.0000 0.1755 0.2500  2 Cl 2.72
2 Pu 0.0000 0.8245 0.7500  2 Cl 2.72
3 Pu 0.5000 0.3245 0.7500  2 Cl 2.72
4 Pu 0.5000 0.6755 0.2500  2 Cl 2.72
5 Te 0.0000 0.1968 0.7500  4 Pu 3.06-3.13
6 Te 0.0000 0.8032 0.2500  4 Pu 3.06-3.13
7 Te 0.5000 0.3032 0.2500  4 Pu 3.06-3.13
8 Te 0.5000 0.6968 0.7500  4 Pu 3.06-3.13
9 Cl 0.0000 0.4188 0.7500  2 Pu 2.72
10 Cl 0.0000 0.5812 0.2500  2 Pu 2.72
11 Cl 0.5000 0.0812 0.2500  2 Pu 2.72
12 Cl 0.5000 0.9188 0.7500  2 Pu 2.72

**Raw total energy**: -7.84 eV/atom
**Energy relative to the elements, uncorrected**: -1.40 eV/atom

***

This record from Alexandria via LeMat-Bulk describes a relaxed HoEr2ThSc4 crystal. The functional is PBE.

Cell lengths 4.9068, 4.9043, 9.2081 Å; angles 90.00, 90.01, 90.00 degrees
Last column: nearest neighbours and their distance in Å.
Element x y z (fractional)
1 Ho 0.0000 0.0000 0.0000  8 Sc 3.37-3.38, 4 Er 3.47
2 Er 0.0000 0.0000 0.5000  8 Sc 3.35-3.36, 4 Th 3.47
3 Er 0.5000 0.5000 0.0000  8 Sc 3.37-3.39, 4 Ho 3.47
4 Th 0.5000 0.5000 0.5000  8 Sc 3.34-3.36, 4 Er 3.47
5 Sc 0.0026 0.5000 0.2521  2 Th 3.34-3.36, 4 Er 3.35-3.39, 2 Ho 3.38, 4 Sc 3.47
6 Sc 0.4983 0.0000 0.7481  4 Er 3.35-3.38, 2 Th 3.35, 2 Ho 3.37-3.38, 4 Sc 3.47
7 Sc 0.5017 0.0000 0.2519  4 Er 3.35-3.38, 2 Th 3.35, 2 Ho 3.37-3.38, 4 Sc 3.47
8 Sc 0.9974 0.5000 0.7479  2 Th 3.34-3.36, 4 Er 3.35-3.39, 2 Ho 3.38, 4 Sc 3.47

**Raw total energy**: -5.79 eV/atom
**Formation enthalpy at 0 K**: 0.14 eV/f.u.

***

This record from Alexandria via LeMat-Bulk describes a relaxed TlAgGe crystal. The functional is PBE.

Cell lengths 4.5003, 5.6697, 6.8125 Å; angles 65.50, 70.73, 89.87 degrees
Last column: nearest neighbours and their distance in Å.
Element x y z (fractional)
1 Tl 0.1423 0.3919 0.2156  4 Ag 3.12-3.13, 2 Tl 3.36, 2 Ge 3.40-3.41
2 Tl 0.8577 0.6081 0.7844  4 Ag 3.12-3.13, 2 Tl 3.36, 2 Ge 3.40-3.41
3 Ag 0.5000 0.0000 0.5000  2 Ge 2.66, 2 Ag 2.83
4 Ag 0.5000 0.5000 0.5000  2 Ge 2.67, 2 Ag 2.83
5 Ge 0.3050 0.0551 0.8902  2 Ge 2.58-2.59, 2 Ag 2.66-2.67
6 Ge 0.6950 0.9449 0.1098  2 Ge 2.58-2.59, 2 Ag 2.66-2.67

**Raw total energy**: -3.11 eV/atom
**Formation enthalpy at 0 K**: 0.51 eV/f.u.

***

This record from Alexandria via LeMat-Bulk describes a relaxed TlHPb2 crystal. The functional is PBE.

Cell lengths 3.4768, 7.1410, 8.4098 Å; angles 78.16, 80.46, 85.51 degrees
Last column: nearest neighbours and their distance in Å.
Element x y z (fractional)
1 Tl 0.1868 0.0957 0.1426  1 H 2.28
2 Tl 0.8132 0.9043 0.8574  1 H 2.28
3 H 0.2688 0.9661 0.6268  2 Pb 2.16-2.21, 1 Tl 2.28
4 H 0.7312 0.0339 0.3732  2 Pb 2.16-2.21, 1 Tl 2.28
5 Pb 0.1875 0.5670 0.1707  4 Tl 3.42-3.73, 7 Pb 3.48-3.66
6 Pb 0.4819 0.2532 0.5082  2 H 2.16-2.21
7 Pb 0.5181 0.7468 0.4918  2 H 2.16-2.21
8 Pb 0.8125 0.4330 0.8293  4 Tl 3.42-3.73, 7 Pb 3.48-3.66

**Raw total energy**: -3.08 eV/atom
**ΔE to the lowest computed polymorph**: 0.000 kcal/mol of atoms

***

This record from Alexandria via LeMat-Bulk describes a relaxed CdFe2Cl crystal. The functional is PBE.

Cell lengths 3.0571, 5.0426, 8.4768 Å; angles 90.00, 90.00, 90.00 degrees
Last column: nearest neighbours and their distance in Å.
Element x y z (fractional)
1 Cd 0.0000 0.0000 0.0000  4 Fe 2.76, 6 Cd 2.95-3.06
2 Cd 0.5000 0.5000 0.0000  4 Fe 2.76, 6 Cd 2.95-3.06
3 Fe 0.0000 0.5000 0.2712  2 Cl 2.47, 2 Cd 2.76
4 Fe 0.0000 0.5000 0.7288  2 Cl 2.47, 2 Cd 2.76
5 Fe 0.5000 0.0000 0.2712  2 Cl 2.47, 2 Cd 2.76
6 Fe 0.5000 0.0000 0.7288  2 Cl 2.47, 2 Cd 2.76
7 Cl 0.0000 0.0000 0.5000  4 Fe 2.47
8 Cl 0.5000 0.5000 0.5000  4 Fe 2.47

**Raw total energy**: -4.53 eV/atom
**Energy relative to the elements, uncorrected**: 0.39 eV/atom
**ΔE to the lowest computed polymorph**: 7.069 kcal/mol of atoms

***

This record from Alexandria via LeMat-Bulk describes a relaxed CaMg8Cu4 crystal. The functional is PBE.

Cell lengths 7.2811, 7.2811, 7.2811 Å; angles 98.03, 98.03, 136.10 degrees
Last column: nearest neighbours and their distance in Å.
Element x y z (fractional)
1 Ca 0.0000 0.0000 0.0000  12 Mg 3.25-3.43
2 Mg 0.0000 0.3401 0.3401  4 Cu 2.88, 5 Mg 2.96-3.09
3 Mg 0.0000 0.6599 0.6599  4 Cu 2.88, 5 Mg 2.96-3.09
4 Mg 0.2815 0.5000 0.7815  4 Cu 2.76, 6 Mg 2.95-3.09
5 Mg 0.3401 0.0000 0.3401  4 Cu 2.88, 5 Mg 2.96-3.09
6 Mg 0.5000 0.2815 0.7815  4 Cu 2.76, 6 Mg 2.95-3.09
7 Mg 0.5000 0.7185 0.2185  4 Cu 2.76, 6 Mg 2.95-3.09
8 Mg 0.6599 0.0000 0.6599  4 Cu 2.88, 5 Mg 2.96-3.09
9 Mg 0.7185 0.5000 0.2185  4 Cu 2.76, 6 Mg 2.95-3.09
10 Cu 0.0000 0.0000 0.5000  2 Cu 2.72, 8 Mg 2.76-2.88
11 Cu 0.0000 0.5000 0.0000  2 Cu 2.72, 8 Mg 2.76-2.88
12 Cu 0.5000 0.0000 0.0000  2 Cu 2.72, 8 Mg 2.76-2.88
13 Cu 0.5000 0.5000 0.5000  2 Cu 2.72, 8 Mg 2.76-2.88

**Raw total energy**: -2.49 eV/atom
**Formation enthalpy at 0 K**: -1.23 eV/f.u.
**ΔE to the lowest computed polymorph**: 0.000 kcal/mol of atoms

***

This record from Alexandria via LeMat-Bulk describes a relaxed Li3CuI crystal. The functional is PBE.

Cell lengths 5.1542, 5.1542, 5.1542 Å; angles 90.00, 90.00, 90.00 degrees
Last column: nearest neighbours and their distance in Å.
Element x y z (fractional)
1 Li 0.0000 0.0000 0.5000  2 I 2.58
2 Li 0.0000 0.5000 0.0000  2 I 2.58
3 Li 0.5000 0.0000 0.0000  2 I 2.58
4 Cu 0.5000 0.5000 0.5000  12 Li 3.64
5 I 0.0000 0.0000 0.0000  6 Li 2.58

**Raw total energy**: -2.21 eV/atom
**Energy relative to the elements, uncorrected**: 0.07 eV/atom
**ΔE to the lowest computed polymorph**: 4.230 kcal/mol of atoms

***

This record from Alexandria via LeMat-Bulk describes a relaxed SbPBr2 crystal. The functional is PBE.

Cell lengths 6.5201, 8.8140, 3.3028 Å; angles 90.00, 90.00, 90.00 degrees
Last column: nearest neighbours and their distance in Å.
Element x y z (fractional)
1 Sb 0.0000 0.0000 0.0000  8 Br 3.20, 2 P 3.26, 2 Sb 3.30
2 Sb 0.5000 0.5000 0.0000  8 Br 3.20, 2 P 3.26, 2 Sb 3.30
3 P 0.0000 0.5000 0.0000  8 Br 3.20, 2 Sb 3.26, 2 P 3.30
4 P 0.5000 0.0000 0.0000  8 Br 3.20, 2 Sb 3.26, 2 P 3.30
5 Br 0.2500 0.2500 0.5000  4 Sb 3.20, 4 P 3.20, 4 Br 3.26-3.30
6 Br 0.2500 0.7500 0.5000  4 Sb 3.20, 4 P 3.20, 4 Br 3.26-3.30
7 Br 0.7500 0.2500 0.5000  4 Sb 3.20, 4 P 3.20, 4 Br 3.26-3.30
8 Br 0.7500 0.7500 0.5000  4 Sb 3.20, 4 P 3.20, 4 Br 3.26-3.30

**Raw total energy**: -2.55 eV/atom
**Energy relative to the elements, uncorrected**: 0.66 eV/atom
**ΔE to the lowest computed polymorph**: 19.920 kcal/mol of atoms

***

This record from Alexandria via LeMat-Bulk describes a relaxed Th3GeP2Rh9 crystal. The functional is PBE.

Cell lengths 5.8022, 5.8022, 9.6612 Å; angles 90.00, 90.00, 120.00 degrees
Last column: nearest neighbours and their distance in Å.
Element x y z (fractional)
1 Th 0.0000 0.0000 0.0000  6 Rh 2.90
2 Th 0.3333 0.6667 0.6232  6 Rh 2.98
3 Th 0.6667 0.3333 0.3768  6 Rh 2.98
4 Ge 0.0000 0.0000 0.5000  6 Rh 2.48
5 P 0.3333 0.6667 0.1587  6 Rh 2.23-2.27
6 P 0.6667 0.3333 0.8413  6 Rh 2.23-2.27
7 Rh 0.0000 0.5000 0.0000  2 P 2.27
8 Rh 0.1619 0.3238 0.3060  1 P 2.23, 1 Ge 2.48
9 Rh 0.1619 0.8381 0.3060  1 P 2.23, 1 Ge 2.48
10 Rh 0.3238 0.1619 0.6940  1 P 2.23, 1 Ge 2.48
11 Rh 0.5000 0.0000 0.0000  2 P 2.27
12 Rh 0.5000 0.5000 0.0000  2 P 2.27
13 Rh 0.6762 0.8381 0.3060  1 P 2.23, 1 Ge 2.48
14 Rh 0.8381 0.1619 0.6940  1 P 2.23, 1 Ge 2.48
15 Rh 0.8381 0.6762 0.6940  1 P 2.23, 1 Ge 2.48

**Raw total energy**: -7.72 eV/atom
**Formation enthalpy at 0 K**: -11.87 eV/f.u.

***

This record from Alexandria via LeMat-Bulk describes a relaxed Na5B7C3 crystal. The functional is PBE.

Cell lengths 4.9920, 7.6910, 9.0515 Å; angles 72.28, 89.98, 71.06 degrees
Last column: nearest neighbours and their distance in Å.
Element x y z (fractional)
1 Na 0.0000 0.0000 0.0000  10 B 2.65-2.84, 2 C 2.71, 6 Na 2.88-2.91
2 Na 0.0945 0.8033 0.4914  8 B 2.62-2.77, 4 C 2.69-2.76, 6 Na 2.88-2.91
3 Na 0.1968 0.6008 0.9990  7 B 2.66-2.75, 5 C 2.68-2.74, 6 Na 2.88-2.91
4 Na 0.2978 0.4026 0.4948  8 B 2.65-2.77, 4 C 2.69-2.74, 6 Na 2.88-2.91
5 Na 0.3986 0.2001 0.9995  3 C 2.69-2.74, 9 B 2.69-2.78, 6 Na 2.88-2.91
6 Na 0.4971 0.0035 0.4927  3 C 2.69-2.76, 9 B 2.69-2.79, 6 Na 2.87-2.91
7 Na 0.5983 0.8005 0.9997  9 B 2.69-2.78, 3 C 2.69-2.75, 6 Na 2.88-2.91
8 Na 0.6957 0.6036 0.4913  4 C 2.68-2.77, 8 B 2.68-2.77, 6 Na 2.88-2.92
9 Na 0.7970 0.4003 0.9988  7 B 2.65-2.75, 5 C 2.67-2.74, 6 Na 2.88-2.91
10 Na 0.9003 0.2015 0.4943  9 B 2.65-2.83, 3 C 2.69-2.71, 6 Na 2.87-2.92
11 B 0.0153 0.3029 0.7456  3 B 1.68-1.75
12 B 0.0796 0.5131 0.7465  2 C 1.61, 1 B 1.75
13 B 0.1047 0.1135 0.2458  2 C 1.63-1.65, 1 B 1.76
14 B 0.2164 0.9004 0.7461  3 B 1.68-1.75
15 B 0.2799 0.1015 0.7455  3 B 1.68-1.75
16 B 0.3164 0.6899 0.2467  2 C 1.64-1.65, 1 B 1.76
17 B 0.3798 0.9013 0.2473  3 B 1.75-1.76
18 B 0.4913 0.6895 0.7466  2 C 1.61, 1 B 1.75
19 B 0.5128 0.3017 0.2454  3 C 1.63-1.68
20 B 0.6312 0.1016 0.7459  3 B 1.72-1.75
21 B 0.6591 0.3191 0.7461  1 C 1.57, 2 B 1.72-1.74
22 B 0.7308 0.9016 0.2468  2 C 1.65, 1 B 1.75
23 B 0.8766 0.8837 0.7463  1 C 1.57, 2 B 1.72-1.74
24 B 0.9128 0.5021 0.2456  3 C 1.63-1.69
25 C 0.1722 0.3081 0.2447  3 B 1.63-1.68
26 C 0.4057 0.5051 0.7469  3 B 1.57-1.61
27 C 0.5781 0.4962 0.2454  3 B 1.63-1.69
28 C 0.7788 0.1045 0.2459  3 B 1.65-1.66
29 C 0.8096 0.6973 0.7470  3 B 1.57-1.61
30 C 0.9818 0.6987 0.2469  3 B 1.65-1.66

**Raw total energy**: -5.25 eV/atom
**Formation enthalpy at 0 K**: 2.20 eV/f.u.
**ΔE to the lowest computed polymorph**: 0.782 kcal/mol of atoms